Entry 1:
Computed, not measured: a relaxed RhI crystal at the GGA-PBE level of DFT.

Properties
- Theoretical density: 6.9 g/cm³
- ΔE_f (raw): 590 meV/atom
- DOS(E_F): 1.178 states/eV/atom

Lattice parameters (Å, degrees): 4.4417 4.4417 3.2170 90.00 90.00 120.00
Space group P-6m2 (No. 187)
Symmetry-distinct sites (fractional):
Rh (0.0000, 0.0000, 0.0000)
I (0.3333, 0.6667, 0.0000)

---

Entry 2:
Computed, not measured: a relaxed RhI crystal at the GGA-PBE level of DFT.

Properties
- Theoretical density: 7.3 g/cm³
- ΔE_f (raw): 258 meV/atom
- DOS(E_F): 1.427 states/eV/atom

Lattice parameters (Å, degrees): 7.943 8.213 12.759 90.00 90.00 90.00
Space group Fddd (No. 70, origin choice 2)
Symmetry-distinct sites (fractional):
Rh (0.125, 0.125, 0.014)
I (0.125, 0.352, 0.625)